# Li5Ac2Ag12, optimized geometry, DFT PBE
# Total energy in eV/atom: -2.947
# DOS at the Fermi energy in states/eV per atom: 0.373
data_Li5Ac2Ag12
_space_group_name_H-M_alt 'R -3 m'
_space_group_IT_number 166
_space_group_name_Hall '-R 3 2"'
_cell_length_a 9.5875
_cell_length_b 9.5875
_cell_length_c 14.3033
_cell_angle_alpha 90.00
_cell_angle_beta 90.00
_cell_angle_gamma 120.00
loop_
_atom_site_label
_atom_site_fract_x
_atom_site_fract_y
_atom_site_fract_z
_atom_site_occupancy
Li1 0.0000 0.0000 0.0909 1
Li2 0.0000 0.5000 0.5000 1
Ac1 0.0000 0.0000 0.3540 1
Ag1 0.0000 0.2967 0.0000 1
Ag2 0.0140 0.5070 0.8458 1